First-principles (PBE-GGA) data for a relaxed structure of Ga2B2F7, as listed in the Alexandria database.

```
Ga2B2F7
1.0
3.254 -5.098 0.000
3.254 5.098 0.000
-2.283 0.000 5.713
Ga B F
2 2 7
direct
0.238 0.762 0.000
0.762 0.238 0.000
0.260 0.260 0.499
0.740 0.740 0.501
0.126 0.126 0.263
0.134 0.362 0.614
0.362 0.134 0.614
0.500 0.500 0.500
0.638 0.866 0.386
0.866 0.638 0.386
0.874 0.874 0.737
```

Summary:
* uncorrected energy: -5.194 eV per atom
* energy relative to the elements, uncorrected: -216 kJ per mole of atoms
* space-group type: C2/m, No. 12